i) # Rb3U2O7 PBE relaxed
data_Rb3U2O7
_chemical_formula_sum 'Rb3 U2 O7'
_symmetry_space_group_name_H-M 'P 1'
_symmetry_Int_Tables_number 1
_symmetry_space_group_name_Hall 'P 1'
_cell_length_a 4.365
_cell_length_b 4.365
_cell_length_c 11.899
_cell_angle_alpha 100.57
_cell_angle_beta 100.57
_cell_angle_gamma 90.00
loop_
_atom_site_label
_atom_site_type_symbol
_atom_site_fract_x
_atom_site_fract_y
_atom_site_fract_z
Rb1 Rb 0.500 0.500 0.000
O1 O 0.820 0.820 0.639
U1 U 0.905 0.905 0.811
O2 O 0.000 0.000 0.000
O3 O 0.180 0.180 0.361
O4 O 0.906 0.406 0.812
O5 O 0.594 0.094 0.188
Rb2 Rb 0.309 0.309 0.617
O6 O 0.094 0.594 0.188
U2 U 0.095 0.095 0.189
O7 O 0.406 0.906 0.812
Rb3 Rb 0.691 0.691 0.383
# Space group: No. 139

ii) # Rb3U2O7 PBE relaxed
data_Rb3U2O7
_chemical_formula_sum 'Rb3 U2 O7'
_symmetry_space_group_name_H-M 'P 1'
_symmetry_Int_Tables_number 1
_symmetry_space_group_name_Hall 'P 1'
_cell_length_a 4.348
_cell_length_b 4.372
_cell_length_c 12.247
_cell_angle_alpha 100.28
_cell_angle_beta 90.00
_cell_angle_gamma 90.00
loop_
_atom_site_label
_atom_site_type_symbol
_atom_site_fract_x
_atom_site_fract_y
_atom_site_fract_z
O1 O 0.500 0.910 0.820
O2 O 0.500 0.090 0.180
O3 O 0.000 0.410 0.821
Rb1 Rb 0.500 0.682 0.363
O4 O 0.000 0.172 0.343
U1 U 0.000 0.910 0.820
O5 O 0.000 0.828 0.657
U2 U 0.000 0.090 0.180
O6 O 0.000 0.000 0.000
Rb2 Rb 0.500 0.318 0.637
O7 O 0.000 0.590 0.179
Rb3 Rb 0.500 0.500 0.000
# Space group: No. 65

Most stable pick: i). Distance to second place: 26 meV per atom.